! LaZnSb2 GGA-PBE relaxed; values from VASP
! **Total magnetization**: 0.000 μB/cell
! **E_tot**: -4.080 eV/atom
! **Uncorrected formation energy**: -0.468 eV/atom
! **SG**: No. 10
&SYSTEM
  ibrav = 0, nat = 4, ntyp = 3
/
ATOMIC_SPECIES
La 138.91 La.upf
Zn 65.41 Zn.upf
Sb 121.76 Sb.upf
ATOMIC_POSITIONS crystal
La 0.000 0.000 0.000
Zn 0.000 0.000 0.500
Sb 0.467 0.500 0.730
Sb 0.533 0.500 0.270
CELL_PARAMETERS angstrom
4.159 0.000 0.000
0.000 4.061 0.000
-0.271 0.000 6.383